Record 1
VASP calculation (PBE) on an optimized crystal structure of BeHgBi2.

a = 8.394 Å, b = 8.394 Å, c = 8.394 Å
α = 139.67°, β = 139.67°, γ = 58.35°
Sites, in units of the cell vectors:
Be 0.000 0.000 0.000
Be 0.750 0.250 0.500
Hg 0.250 0.750 0.500
Hg 0.500 0.500 0.000
Bi 0.041 0.625 0.916
Bi 0.375 0.291 0.416
Bi 0.709 0.125 0.084
Bi 0.875 0.959 0.584

Computed properties:
Calculated total energy (eV/cell): -20.82
Volume (Å³ per cell): 245.5
Space-group type: I-42d
Polymorph energy (0 for the lowest one) (meV per atom): 0
Calculated formation energy (eV/atom): 0.345
Crystal system: tetragonal



Record 2
VASP calculation (PBE) on an optimized crystal structure of SrAcAlZn.

a = 5.586 Å, b = 5.586 Å, c = 5.586 Å
α = 60.00°, β = 60.00°, γ = 60.00°
Sites, in units of the cell vectors:
Sr 0.000 0.000 0.000
Ac 0.500 0.500 0.500
Al 0.250 0.250 0.250
Zn 0.750 0.750 0.750

Computed properties:
Calculated total energy (eV/cell): -11.59
Volume (Å³ per cell): 123.2
Space-group type: F-43m
Polymorph energy (0 for the lowest one) (meV per atom): 0
Calculated formation energy (eV/atom): -0.197
Crystal system: cubic



Record 3
VASP calculation (PBE) on an optimized crystal structure of La2Pm6DyMg.

a = 8.759 Å, b = 8.759 Å, c = 9.956 Å
α = 95.62°, β = 95.62°, γ = 116.14°
Sites, in units of the cell vectors:
La 0.204 0.294 0.050
La 0.294 0.204 0.550
La 0.706 0.796 0.450
La 0.796 0.706 0.950
Pm 0.006 0.578 0.192
Pm 0.121 0.744 0.552
Pm 0.256 0.879 0.948
Pm 0.302 0.501 0.385
Pm 0.422 0.994 0.308
Pm 0.499 0.698 0.115
Pm 0.501 0.302 0.885
Pm 0.578 0.006 0.692
Pm 0.698 0.499 0.615
Pm 0.744 0.121 0.052
Pm 0.879 0.256 0.448
Pm 0.994 0.422 0.808
Dy 0.010 0.990 0.250
Dy 0.990 0.010 0.750
Mg 0.402 0.598 0.750
Mg 0.598 0.402 0.250

Computed properties:
Calculated total energy (eV/cell): -87.08
Volume (Å³ per cell): 673.8
Space-group type: C2/c
Calculated formation energy (eV/atom): 0.102
Crystal system: monoclinic



Record 4
VASP calculation (PBE) on an optimized crystal structure of BaTaIrPd2.

a = 4.949 Å, b = 4.949 Å, c = 5.454 Å
α = 90.00°, β = 90.00°, γ = 90.00°
Sites, in units of the cell vectors:
Ba 0.000 0.000 0.000
Ta 0.000 0.000 0.500
Ir 0.500 0.500 0.500
Pd 0.000 0.500 0.000
Pd 0.500 0.000 0.000

Computed properties:
Calculated total energy (eV/cell): -20.38
Volume (Å³ per cell): 133.6
Space-group type: P4/mmm
Calculated formation energy (eV/atom): 2.529
Crystal system: tetragonal